[1]
## ErBr3 (GGA-PBE)

Data for a geometry-optimized ErBr3 structure.

The calculation puts the total energy at -0.30467 Ry/atom. The calculation puts the total moment at 0.00 μB per atom.

The space group is Pnma (No. 62) and the conventional cell measures 7.061, 10.276 and 6.378 Å, with angles of 90.00, 90.00 and 90.00 degrees. Symmetry generates all atoms from Er at (0.120, 0.250, 0.067), Br at (0.043, 0.750, 0.332) and Br at (0.167, 0.577, 0.819).

[2]
## ErBr (GGA-PBE)

Data for a geometry-optimized ErBr structure.

The calculation puts the total energy at -0.30178 Ry/atom. The calculation puts the total moment at 0.00 μB per atom.

The space group is P-6m2 (No. 187) and the conventional cell measures 3.5573, 3.5573 and 4.5439 Å, with angles of 90.00, 90.00 and 120.00 degrees. Symmetry generates all atoms from Er at (0.0000, 0.0000, 0.0000) and Br at (0.3333, 0.6667, 0.5000).

[3]
## ErBr3 (GGA-PBE)

Data for a geometry-optimized ErBr3 structure.

The calculation puts the total energy at -0.30794 Ry/atom. The calculation puts the total moment at 0.00 μB per atom.

The space group is Pnma (No. 62) and the conventional cell measures 12.623, 3.758 and 10.083 Å, with angles of 90.00, 90.00 and 90.00 degrees. Symmetry generates all atoms from Er at (0.219, 0.250, 0.050), Br at (0.116, 0.750, 0.886), Br at (0.119, 0.250, 0.548) and Br at (0.142, 0.750, 0.237).

[4]
## ErFeBr (GGA-PBE)

Data for a geometry-optimized ErFeBr structure.

The calculation puts the total energy at -0.42589 Ry/atom. The calculation puts the total moment at 0.27 μB per atom.

The space group is R-3m (No. 166, hexagonal axes) and the conventional cell measures 3.8281, 3.8281 and 34.5277 Å, with angles of 90.00, 90.00 and 120.00 degrees. Symmetry generates all atoms from Er at (0.0000, 0.0000, 0.0565), Fe at (0.0000, 0.0000, 0.3356) and Br at (0.0000, 0.0000, 0.2216).

[5]
## Er2GaFeBr2 (GGA-PBE)

Data for a geometry-optimized Er2GaFeBr2 structure.

The calculation puts the total energy at -0.36334 Ry/atom. The calculation puts the total moment at 0.17 μB per atom.

The space group is P3m1 (No. 156) and the conventional cell measures 4.0634, 4.0634 and 11.0294 Å, with angles of 90.00, 90.00 and 120.00 degrees. Symmetry generates all atoms from Er at (0.0000, 0.0000, 0.0000), Er at (0.0000, 0.0000, 0.3413), Ga at (0.6667, 0.3333, 0.1758), Fe at (0.3333, 0.6667, 0.1723), Br at (0.3333, 0.6667, 0.5081) and Br at (0.6667, 0.3333, 0.8341).

[6]
## HoErFe2Br2 (GGA-PBE)

Data for a geometry-optimized HoErFe2Br2 structure.

The calculation puts the total energy at -0.42592 Ry/atom. The calculation puts the total moment at 0.27 μB per atom.

The space group is P3m1 (No. 156) and the conventional cell measures 3.8342, 3.8342 and 11.5579 Å, with angles of 90.00, 90.00 and 120.00 degrees. Symmetry generates all atoms from Ho at (0.0000, 0.0000, 0.0000), Er at (0.0000, 0.0000, 0.3385), Fe at (0.3333, 0.6667, 0.1627), Fe at (0.6667, 0.3333, 0.1762), Br at (0.3333, 0.6667, 0.5040) and Br at (0.6667, 0.3333, 0.8344).